1.
The following is a PBE calculation of an optimized crystal structure of Pr4CI2Cl3, from OQMD.

```
10
Lattice="9.1916 -2.0055 0.0000 9.1916 2.0055 0.0000 -1.5383 0.0000 8.1696" Properties=species:S:1:pos:R:3 pbc="T T T"
C 9.1916 0.0000 0.0000
I 14.3231 0.0000 5.1947
Pr 11.6756 0.0000 0.5485
I 2.5217 0.0000 2.9749
Cl 15.0109 0.0000 1.3275
Pr 5.1692 0.0000 7.6211
Cl 8.4224 0.0000 4.0848
Pr 17.9589 0.0000 1.7255
Pr -1.1141 0.0000 6.4441
Cl 1.8340 0.0000 6.8421
```

## Properties
Crystal system   monoclinic
Space group   No. 12
Energy above the lowest structure with this stoichiometry   18 meV per atom



2.
The following is a PBE calculation of an optimized crystal structure of Li3OsO4, from OQMD.

```
16
Lattice="-3.2142 3.8909 0.6830 -4.3448 -3.8081 1.2472 2.2884 -1.1605 4.4285" Properties=species:S:1:pos:R:3 pbc="T T T"
Os -3.1525 -3.5547 2.1763
Li -1.6335 -0.4523 4.1631
O -4.5873 -2.4836 1.2737
Li -1.0893 -1.7463 1.5840
O -0.6833 1.4059 5.0849
Os 1.0961 -1.4139 3.4994
O -2.4388 -2.0375 3.1052
O -5.1880 -0.9593 3.8354
Li -3.6387 -2.2098 4.7387
O -2.8319 0.9598 3.2534
Li -3.6371 -0.6254 2.1955
Li -0.9671 -3.2223 4.0917
Li -1.6320 1.1321 1.6200
O -0.1104 -1.5798 4.9795
O -5.1602 0.5022 1.3791
O -0.0826 -0.1184 2.5233
```

## Properties
Crystal system   monoclinic
Space group   No. 13
Energy above the lowest structure with this stoichiometry   0 meV per atom



3.
The following is a PBE calculation of an optimized crystal structure of LiCoAuS3, from OQMD.

```
12
Lattice="5.0867 4.6796 -0.4617 -5.8394 -3.0005 -2.2101 -4.9607 5.8957 5.1027" Properties=species:S:1:pos:R:3 pbc="T T T"
S -7.0569 0.8778 0.5702
S -4.5637 4.9332 2.4164
Li -5.0357 -0.0899 -0.6074
Co -0.3764 0.8396 -1.3359
Li -0.6777 7.6647 3.0382
Au 2.1987 4.9953 0.5503
S 3.7786 3.8029 -0.6442
Au -7.9121 2.5796 1.8806
S -9.4920 3.7719 3.0750
S -1.1497 2.6416 0.0145
S 1.3435 6.6970 1.8607
Co -2.8567 3.7874 1.2154
```

## Properties
Crystal system   orthorhombic
Space group   No. 63
Calculated total energy   -4.41 eV per atom



4.
The following is a PBE calculation of an optimized crystal structure of InCoPtAu, from OQMD.

```
4
Lattice="0.0000 3.2015 3.2015 3.2015 0.0000 3.2015 3.2015 3.2015 0.0000" Properties=species:S:1:pos:R:3 pbc="T T T"
Co 4.8023 4.8023 4.8023
In 0.0000 0.0000 0.0000
Au 3.2015 3.2015 3.2015
Pt 1.6008 1.6008 1.6008
```

## Properties
Crystal system   cubic
Space group   No. 216
Energy above the lowest structure with this stoichiometry   0 meV per atom



5.
The following is a PBE calculation of an optimized crystal structure of La2GdMg3Zn2Cd, from OQMD.

```
9
Lattice="4.7303 0.0000 0.0000 0.0000 6.4886 3.6922 0.0000 -6.4886 3.6922" Properties=species:S:1:pos:R:3 pbc="T T T"
Mg 2.3651 -1.5679 0.9109
Zn 2.3651 2.1219 3.6739
Mg 2.3651 0.0000 5.5773
Cd 0.0000 0.0000 0.0491
La 0.0000 2.7760 5.7812
Mg 2.3651 1.5679 0.9109
La 0.0000 -2.7760 5.7812
Gd 0.0000 0.0000 3.1796
Zn 2.3651 -2.1219 3.6739
```

## Properties
Crystal system   orthorhombic
Space group   No. 38
Calculated total energy   -2.78 eV per atom



6.
The following is a PBE calculation of an optimized crystal structure of ZrCuSnIr, from OQMD.

```
4
Lattice="-1.3007 -4.4030 -0.1310 -0.9320 -2.2363 3.9020 -4.3310 -1.1462 1.0118" Properties=species:S:1:pos:R:3 pbc="T T T"
Zr 0.0000 0.0000 0.0000
Cu -4.9228 -5.8391 3.5871
Ir -3.2819 -3.8928 2.3914
Sn -1.6409 -1.9464 1.1957
```

## Properties
Crystal system   cubic
Space group   No. 216
Energy above the lowest structure with this stoichiometry   259 meV per atom